(1)
# Rb2Np3PbSe8 (PBE, relaxed)
data_Rb2Np3PbSe8
_cell_length_a 9.644
_cell_length_b 9.644
_cell_length_c 9.644
_cell_angle_alpha 52.14
_cell_angle_beta 52.14
_cell_angle_gamma 52.14
_space_group_name_H-M_alt 'P 1'
_space_group_IT_number 1
loop_
_space_group_symop_operation_xyz
'x,y,z'
loop_
_atom_site_label
_atom_site_type_symbol
_atom_site_fract_x
_atom_site_fract_y
_atom_site_fract_z
Rb1 Rb 0.000 0.000 0.000
Rb2 Rb 0.360 0.360 0.360
Np1 Np 0.361 0.361 0.866
Np2 Np 0.361 0.866 0.361
Np3 Np 0.866 0.361 0.361
Pb1 Pb 0.752 0.752 0.752
Se1 Se 0.102 0.102 0.560
Se2 Se 0.102 0.560 0.102
Se3 Se 0.134 0.134 0.134
Se4 Se 0.150 0.624 0.624
Se5 Se 0.560 0.102 0.102
Se6 Se 0.588 0.588 0.588
Se7 Se 0.624 0.150 0.624
Se8 Se 0.624 0.624 0.150
# - formation energy (no corrections) (meV per atom) = -1016.1
# - SG = R3m

---

(2)
# Rb3Np2Te6Pb (PBE, relaxed)
data_Rb3Np2Te6Pb
_cell_length_a 8.064
_cell_length_b 8.064
_cell_length_c 8.881
_cell_angle_alpha 98.70
_cell_angle_beta 98.70
_cell_angle_gamma 119.98
_space_group_name_H-M_alt 'P 1'
_space_group_IT_number 1
loop_
_space_group_symop_operation_xyz
'x,y,z'
loop_
_atom_site_label
_atom_site_type_symbol
_atom_site_fract_x
_atom_site_fract_y
_atom_site_fract_z
Rb1 Rb 0.000 0.000 0.000
Rb2 Rb 0.340 0.660 0.000
Rb3 Rb 0.660 0.340 0.000
Np1 Np 0.167 0.833 0.500
Np2 Np 0.833 0.167 0.500
Te1 Te 0.082 0.433 0.299
Te2 Te 0.216 0.216 0.699
Te3 Te 0.433 0.082 0.299
Te4 Te 0.567 0.918 0.701
Te5 Te 0.784 0.784 0.301
Te6 Te 0.918 0.567 0.701
Pb1 Pb 0.500 0.500 0.500
# - formation energy (no corrections) (meV per atom) = -836.7
# - SG = C2/m

---

(3)
# Rb3NpTe6Pb2 (PBE, relaxed)
data_Rb3NpTe6Pb2
_cell_length_a 8.140
_cell_length_b 8.140
_cell_length_c 8.830
_cell_angle_alpha 98.86
_cell_angle_beta 98.86
_cell_angle_gamma 119.95
_space_group_name_H-M_alt 'P 1'
_space_group_IT_number 1
loop_
_space_group_symop_operation_xyz
'x,y,z'
loop_
_atom_site_label
_atom_site_type_symbol
_atom_site_fract_x
_atom_site_fract_y
_atom_site_fract_z
Rb1 Rb 0.000 0.000 0.000
Rb2 Rb 0.325 0.675 0.000
Rb3 Rb 0.675 0.325 0.000
Np1 Np 0.500 0.500 0.500
Te1 Te 0.124 0.434 0.300
Te2 Te 0.259 0.259 0.702
Te3 Te 0.434 0.124 0.300
Te4 Te 0.566 0.876 0.700
Te5 Te 0.741 0.741 0.298
Te6 Te 0.876 0.566 0.700
Pb1 Pb 0.165 0.835 0.500
Pb2 Pb 0.835 0.165 0.500
# - formation energy (no corrections) (meV per atom) = -732.0
# - SG = C2/m

---

(4)
# Rb4Np3Te8Pb (PBE, relaxed)
data_Rb4Np3Te8Pb
_cell_length_a 10.021
_cell_length_b 10.021
_cell_length_c 10.021
_cell_angle_alpha 55.36
_cell_angle_beta 55.36
_cell_angle_gamma 55.36
_space_group_name_H-M_alt 'P 1'
_space_group_IT_number 1
loop_
_space_group_symop_operation_xyz
'x,y,z'
loop_
_atom_site_label
_atom_site_type_symbol
_atom_site_fract_x
_atom_site_fract_y
_atom_site_fract_z
Rb1 Rb 0.000 0.000 0.000
Rb2 Rb 0.000 0.500 0.500
Rb3 Rb 0.500 0.000 0.500
Rb4 Rb 0.500 0.500 0.000
Np1 Np 0.000 0.000 0.500
Np2 Np 0.000 0.500 0.000
Np3 Np 0.500 0.000 0.000
Te1 Te 0.219 0.740 0.740
Te2 Te 0.233 0.233 0.233
Te3 Te 0.260 0.260 0.781
Te4 Te 0.260 0.781 0.260
Te5 Te 0.740 0.219 0.740
Te6 Te 0.740 0.740 0.219
Te7 Te 0.767 0.767 0.767
Te8 Te 0.781 0.260 0.260
Pb1 Pb 0.500 0.500 0.500
# - formation energy (no corrections) (meV per atom) = -844.9
# - SG = R-3m

---

Q: formation energy (no corrections) of number 3 (Rb3NpTe6Pb2)?
A: -732.0 meV per atom